7
Lattice="-1.011 0.397 3.482 2.173 -1.188 2.677 3.427 5.740 2.250" Properties=species:S:1:pos:R:3 comment="PBE-GGA Li4MgN2, relaxed" m_tot_mub_per_cell=0.0 final_energy_ev_per_atom=-4.06 formation_energy_uncorrected_ev_per_atom=-0.359 sg="No. 166" pbc="T T T"
Li 2.964 3.796 4.248
Li 1.594 2.118 2.131
Li 2.996 2.830 6.278
Li 1.625 1.152 4.161
Mg 0.000 0.000 0.000
N 2.531 3.970 2.192
N 2.058 0.978 6.217

12
Lattice="-1.972 1.924 -1.170 -1.726 -4.901 -1.323 -4.118 -0.294 6.457" Properties=species:S:1:pos:R:3 comment="PBE-GGA LiMgNbN3, relaxed" m_tot_mub_per_cell=0.0 final_energy_ev_per_atom=-6.86 formation_energy_uncorrected_ev_per_atom=-0.433 sg="No. 63" pbc="T T T"
Li -5.785 -4.138 2.945
Li -2.030 0.868 1.019
Mg -2.059 -0.147 3.228
Mg 0.000 0.000 0.000
Nb -5.449 -1.255 3.290
Nb -2.366 -2.014 0.674
N -3.464 -0.316 1.490
N -4.351 -2.954 2.473
N -5.655 -3.047 4.518
N -2.161 -0.223 -0.554
N -3.671 -1.066 4.433
N -4.144 -2.204 -0.469

16
Lattice="-3.130 -1.933 -5.020 -1.939 -4.988 3.130 -0.998 5.703 2.283" Properties=species:S:1:pos:R:3 comment="PBE-GGA LiMg4Nb3N8, relaxed" m_tot_mub_per_cell=0.0 final_energy_ev_per_atom=-7.47 formation_energy_uncorrected_ev_per_atom=-0.901 sg="No. 166" pbc="T T T"
Li -0.969 -2.494 1.565
Mg -1.565 -0.967 -2.510
Mg -2.064 1.885 -1.368
Mg 0.000 0.000 0.000
Mg -0.499 2.851 1.142
Nb -2.534 -3.461 -0.945
Nb -3.033 -0.609 0.197
Nb -1.468 0.357 2.707
N -3.189 1.450 3.269
N -2.714 -1.269 2.181
N -1.793 1.108 0.691
N -4.681 0.528 0.876
N -1.385 -1.747 -0.482
N -4.273 -2.326 -0.298
N -3.352 0.051 -1.787
N -2.877 -2.669 -2.876

12
Lattice="3.110 0.000 0.000 0.000 6.231 0.220 -1.555 -1.805 6.545" Properties=species:S:1:pos:R:3 comment="PBE-GGA LiMg3Nb2N6, relaxed" m_tot_mub_per_cell=0.0 final_energy_ev_per_atom=-7.21 formation_energy_uncorrected_ev_per_atom=-0.807 sg="No. 12" pbc="T T T"
Li 1.555 0.000 0.000
Mg 1.555 3.116 0.110
Mg 1.555 -0.173 4.479
Mg 0.000 4.599 2.286
Nb 1.555 3.006 4.698
Nb 0.000 1.420 2.067
N 0.000 4.415 4.519
N 1.555 2.949 2.325
N 1.555 0.011 2.246
N 0.000 1.599 0.151
N 1.555 2.827 6.614
N 0.000 1.478 4.440

8
Lattice="3.087 0.000 0.000 0.000 5.338 0.099 0.000 -1.863 5.125" Properties=species:S:1:pos:R:3 comment="PBE-GGA LiMgNb2N4, relaxed" m_tot_mub_per_cell=0.0 final_energy_ev_per_atom=-8.05 formation_energy_uncorrected_ev_per_atom=-0.932 sg="No. 10" pbc="T T T"
Li 1.543 2.669 0.050
Mg 0.000 0.000 0.000
Nb 1.543 -0.932 2.562
Nb 0.000 1.738 2.612
N 1.543 0.856 1.358
N 1.543 2.619 3.866
N 0.000 -0.078 3.767
N 0.000 3.553 1.457

5
Lattice="4.247 0.000 0.000 0.000 4.247 0.000 0.000 0.000 3.563" Properties=species:S:1:pos:R:3 comment="PBE-GGA Li2MgNiN, relaxed" m_tot_mub_per_cell=0.0 final_energy_ev_per_atom=-4.09 formation_energy_uncorrected_ev_per_atom=-0.186 sg="No. 123" pbc="T T T"
Ni 0.000 0.000 1.781
Mg 2.123 2.123 1.781
Li 0.000 2.123 0.000
Li 2.123 0.000 0.000
N 0.000 0.000 0.000

12
Lattice="-2.261 -2.091 -1.376 3.438 -0.026 -5.607 3.729 -4.032 4.135" Properties=species:S:1:pos:R:3 comment="PBE-GGA LiMg3Np2N6, relaxed" m_tot_mub_per_cell=3.0 final_energy_ev_per_atom=-7.79 formation_energy_uncorrected_ev_per_atom=-0.910 sg="No. 12" pbc="T T T"
Li -1.130 -1.046 -0.688
Mg 0.589 -1.059 -3.492
Mg 1.181 -4.495 0.757
Mg 3.726 -1.654 -3.605
Np 3.001 -4.525 -2.187
Np 1.905 -1.625 -0.661
N 4.859 -3.410 -2.798
N 1.768 -2.837 -2.726
N 0.048 -2.739 -0.050
N 0.967 -0.077 -1.472
N 3.939 -6.073 -1.377
N 3.139 -3.312 -0.122

8
Lattice="-1.786 -0.188 -2.922 2.772 -4.528 -1.403 -2.748 -4.880 1.994" Properties=species:S:1:pos:R:3 comment="PBE-GGA LiMgNp2N4, relaxed" m_tot_mub_per_cell=5.0 final_energy_ev_per_atom=-8.77 formation_energy_uncorrected_ev_per_atom=-0.929 sg="No. 10" pbc="T T T"
Li 0.493 -2.358 -2.162
Mg 0.012 -4.704 0.295
Np -2.748 -4.880 1.994
Np -2.267 -2.534 -0.464
N 0.170 -7.103 0.353
N -1.931 -2.493 -2.684
N 0.547 -4.803 -2.038
N -2.309 -4.793 -0.293

12
Lattice="-1.207 -3.267 -0.079 4.400 -1.516 -4.507 3.783 0.325 5.576" Properties=species:S:1:pos:R:3 comment="PBE-GGA Li3MgNp2N6, relaxed" m_tot_mub_per_cell=1.0 final_energy_ev_per_atom=-7.73 formation_energy_uncorrected_ev_per_atom=-0.803 sg="No. 12" pbc="T T T"
Li 1.597 -2.392 -2.293
Li 2.302 -2.779 2.940
Li 4.674 -1.679 -1.950
Mg -0.603 -1.634 -0.040
Np 4.558 -3.556 0.627
Np 2.418 -0.902 0.362
N 5.982 -2.203 -0.282
N 2.941 -2.930 -0.574
N 0.994 -2.255 1.272
N 1.121 -0.390 -0.981
N 5.855 -4.067 1.971
N 4.035 -1.528 1.563

16
Lattice="6.609 0.000 0.000 0.000 6.447 -0.115 -3.305 -3.305 4.675" Properties=species:S:1:pos:R:3 comment="PBE-GGA LiMg4Np3N8, relaxed" m_tot_mub_per_cell=6.0 final_energy_ev_per_atom=-8.02 formation_energy_uncorrected_ev_per_atom=-0.916 sg="No. 166" pbc="T T T"
Li 0.000 3.224 -0.058
Mg 3.305 0.000 0.000
Mg 1.652 -1.652 2.337
Mg 0.000 0.000 0.000
Mg -1.652 -1.652 2.337
Np 3.305 3.224 -0.058
Np 1.652 1.571 2.280
Np -1.652 1.571 2.280
N -1.551 1.506 4.499
N 0.000 3.058 2.305
N 0.000 -0.076 2.284
N 1.551 1.506 4.499
N 1.753 1.637 0.061
N 3.305 3.218 2.275
N 3.305 0.085 2.254
N 4.856 1.637 0.061

5
Lattice="3.858 0.000 0.000 0.000 5.258 0.000 0.000 0.000 3.858" Properties=species:S:1:pos:R:3 comment="PBE-GGA LiMgOsN2, relaxed" m_tot_mub_per_cell=0.5 final_energy_ev_per_atom=-5.66 formation_energy_uncorrected_ev_per_atom=0.615 sg="No. 123" pbc="T T T"
Mg 0.000 2.629 0.000
Li 1.929 2.629 1.929
Os 0.000 0.000 0.000
N 0.000 0.000 1.929
N 1.929 0.000 0.000

10
Lattice="-3.035 2.116 -0.933 -3.118 -3.575 2.034 0.856 3.264 4.616" Properties=species:S:1:pos:R:3 comment="PBE-GGA LiMgPN2, relaxed" m_tot_mub_per_cell=0.0 final_energy_ev_per_atom=-5.18 formation_energy_uncorrected_ev_per_atom=-0.069 sg="No. 13" pbc="T T T"
Li -1.270 1.851 0.698
Li -0.909 3.529 2.985
Mg -1.798 1.274 4.209
Mg -3.500 0.530 1.509
P 0.000 0.000 0.000
P 0.428 1.632 2.308
N -3.716 2.083 5.276
N -2.605 2.365 2.303
N -2.692 -0.561 3.414
N -1.581 -0.279 0.441